Entry 1:
The following is a PBE calculation of a relaxed LaTb2Sn4Pb3 crystal, from OQMD via LeMat-Bulk.

Computed properties:
- Polymorph energy (0 for the lowest one): 0.0 meV/atom

```
LaTb2Sn4Pb3
1.0
2.3371 -12.7946 0.0000
2.3371 12.7946 0.0000
0.0000 0.0000 4.6869
La Tb Sn Pb
1 2 4 3
Cartesian
0.0000 0.0000 0.0000 La
2.3371 7.9181 0.0000 Tb
2.3371 -7.9181 0.0000 Tb
2.3371 10.1953 2.3435 Sn
2.3371 5.3409 2.3435 Sn
2.3371 -5.3409 2.3435 Sn
2.3371 -10.1953 2.3435 Sn
2.3371 2.5661 0.0000 Pb
2.3371 0.0000 2.3435 Pb
2.3371 -2.5661 0.0000 Pb
```

Entry 2:
The following is a PBE calculation of a relaxed HoTm2Ga3CuGe2 crystal, from OQMD via LeMat-Bulk.

Computed properties:
- VASP energy: -4.586 eV per atom

```
HoTm2Ga3CuGe2
1.0
4.1112 0.0000 0.0000
0.0000 6.0617 3.4904
0.0000 -6.0617 3.4904
Ho Tm Ga Cu Ge
1 2 3 1 2
Cartesian
0.0000 0.0000 0.0000 Ho
0.0000 -2.4355 4.2043 Tm
0.0000 2.4355 4.2043 Tm
2.0556 -1.4284 1.9860 Ga
2.0556 1.4284 1.9860 Ga
2.0556 0.0000 4.4488 Ga
0.0000 0.0000 2.8201 Cu
2.0556 -4.0289 2.8010 Ge
2.0556 4.0289 2.8010 Ge
```